1.
The following is a PBE calculation of a relaxed structure of Cr5Cd3N12, from Alexandria via LeMat-Bulk.

a b c (Å): 10.6426 10.6426 10.6426
angles (deg): 109.47 109.47 109.47
With the nearest neighbours (Å) after each atom.
Sites, in units of the cell vectors:
Cr 0.0000 0.0000 0.0000  6 N 1.94
Cr 0.0000 0.0000 0.5000  6 N 1.94
Cr 0.0000 0.5000 0.0000  6 N 1.94
Cr 0.0000 0.5000 0.5000  6 N 1.94
Cr 0.1250 0.7500 0.8750  4 N 1.75
Cr 0.1250 0.8750 0.2500  4 N 1.75
Cr 0.2500 0.1250 0.8750  4 N 1.75
Cr 0.2500 0.6250 0.3750  4 N 1.75
Cr 0.3750 0.2500 0.6250  4 N 1.75
Cr 0.3750 0.6250 0.7500  4 N 1.75
Cr 0.5000 0.0000 0.0000  6 N 1.94
Cr 0.5000 0.0000 0.5000  6 N 1.94
Cr 0.5000 0.5000 0.0000  6 N 1.94
Cr 0.5000 0.5000 0.5000  6 N 1.94
Cr 0.6250 0.3750 0.2500  4 N 1.75
Cr 0.6250 0.7500 0.3750  4 N 1.75
Cr 0.7500 0.3750 0.6250  4 N 1.75
Cr 0.7500 0.8750 0.1250  4 N 1.75
Cr 0.8750 0.1250 0.7500  4 N 1.75
Cr 0.8750 0.2500 0.1250  4 N 1.75
Cd 0.1250 0.2500 0.3750  8 N 2.47-2.56
Cd 0.1250 0.3750 0.7500  8 N 2.47-2.56
Cd 0.2500 0.3750 0.1250  8 N 2.47-2.56
Cd 0.2500 0.8750 0.6250  8 N 2.47-2.56
Cd 0.3750 0.1250 0.2500  8 N 2.47-2.56
Cd 0.3750 0.7500 0.1250  8 N 2.47-2.56
Cd 0.6250 0.2500 0.8750  8 N 2.47-2.56
Cd 0.6250 0.8750 0.7500  8 N 2.47-2.56
Cd 0.7500 0.1250 0.3750  8 N 2.47-2.56
Cd 0.7500 0.6250 0.8750  8 N 2.47-2.56
Cd 0.8750 0.6250 0.2500  8 N 2.47-2.56
Cd 0.8750 0.7500 0.6250  8 N 2.47-2.56
N 0.0066 0.1920 0.1052  2 Cr 1.75-1.94
N 0.0066 0.3146 0.9014  2 Cr 1.75-1.94
N 0.0869 0.6920 0.6854  2 Cr 1.75-1.94
N 0.0869 0.8948 0.4014  2 Cr 1.75-1.94
N 0.0986 0.6052 0.4131  2 Cr 1.75-1.94
N 0.0986 0.9934 0.6854  2 Cr 1.75-1.94
N 0.1052 0.0066 0.1920  2 Cr 1.75-1.94
N 0.1052 0.5986 0.9131  2 Cr 1.75-1.94
N 0.1854 0.1920 0.5869  2 Cr 1.75-1.94
N 0.1854 0.4934 0.5986  2 Cr 1.75-1.94
N 0.1920 0.1052 0.0066  2 Cr 1.75-1.94
N 0.1920 0.5869 0.1854  2 Cr 1.75-1.94
N 0.3080 0.3146 0.9131  2 Cr 1.75-1.94
N 0.3080 0.4934 0.3948  2 Cr 1.75-1.94
N 0.3146 0.9014 0.0066  2 Cr 1.75-1.94
N 0.3146 0.9131 0.3080  2 Cr 1.75-1.94
N 0.3948 0.3080 0.4934  2 Cr 1.75-1.94
N 0.3948 0.5869 0.9014  2 Cr 1.75-1.94
N 0.4014 0.0869 0.8948  2 Cr 1.75-1.94
N 0.4014 0.8146 0.5066  2 Cr 1.75-1.94
N 0.4131 0.0986 0.6052  2 Cr 1.75-1.94
N 0.4131 0.8146 0.8080  2 Cr 1.75-1.94
N 0.4934 0.3948 0.3080  2 Cr 1.75-1.94
N 0.4934 0.5986 0.1854  2 Cr 1.75-1.94
N 0.5066 0.4014 0.8146  2 Cr 1.75-1.94
N 0.5066 0.6052 0.6920  2 Cr 1.75-1.94
N 0.5869 0.1854 0.1920  2 Cr 1.75-1.94
N 0.5869 0.9014 0.3948  2 Cr 1.75-1.94
N 0.5986 0.1854 0.4934  2 Cr 1.75-1.94
N 0.5986 0.9131 0.1052  2 Cr 1.75-1.94
N 0.6052 0.4131 0.0986  2 Cr 1.75-1.94
N 0.6052 0.6920 0.5066  2 Cr 1.75-1.94
N 0.6854 0.0869 0.6920  2 Cr 1.75-1.94
N 0.6854 0.0986 0.9934  2 Cr 1.75-1.94
N 0.6920 0.5066 0.6052  2 Cr 1.75-1.94
N 0.6920 0.6854 0.0869  2 Cr 1.75-1.94
N 0.8080 0.4131 0.8146  2 Cr 1.75-1.94
N 0.8080 0.8948 0.9934  2 Cr 1.75-1.94
N 0.8146 0.5066 0.4014  2 Cr 1.75-1.94
N 0.8146 0.8080 0.4131  2 Cr 1.75-1.94
N 0.8948 0.4014 0.0869  2 Cr 1.75-1.94
N 0.8948 0.9934 0.8080  2 Cr 1.75-1.94
N 0.9014 0.0066 0.3146  2 Cr 1.75-1.94
N 0.9014 0.3948 0.5869  2 Cr 1.75-1.94
N 0.9131 0.1052 0.5986  2 Cr 1.75-1.94
N 0.9131 0.3080 0.3146  2 Cr 1.75-1.94
N 0.9934 0.6854 0.0986  2 Cr 1.75-1.94
N 0.9934 0.8080 0.8948  2 Cr 1.75-1.94

* total magnetic moment: 1.09 μB/cell
* E_form (uncorrected): 0.3357 eV/atom
* V: 928 Å³ per cell
* energy: -576.2 eV per cell

=====

2.
The following is a PBE calculation of a relaxed structure of CrCd3N, from Alexandria via LeMat-Bulk.

a b c (Å): 4.6322 4.6322 4.6322
angles (deg): 90.00 90.00 90.00
With the nearest neighbours (Å) after each atom.
Sites, in units of the cell vectors:
Cr 0.0000 0.0000 0.0000  12 Cd 3.28
Cd 0.0000 0.5000 0.5000  2 N 2.32
Cd 0.5000 0.0000 0.5000  2 N 2.32
Cd 0.5000 0.5000 0.0000  2 N 2.32
N 0.5000 0.5000 0.5000  6 Cd 2.32

* total magnetic moment: 4.86 μB/cell
* E_form (uncorrected): 0.7804 eV/atom
* V: 99 Å³ per cell
* energy: -16.8 eV per cell

=====

3.
The following is a PBE calculation of a relaxed structure of CrCd3N, from Alexandria via LeMat-Bulk.

a b c (Å): 5.2510 5.2510 5.2510
angles (deg): 90.00 90.00 90.00
With the nearest neighbours (Å) after each atom.
Sites, in units of the cell vectors:
Cr 0.0000 0.0000 0.0000  6 Cd 2.63
Cd 0.0000 0.0000 0.5000  2 Cr 2.63
Cd 0.0000 0.5000 0.0000  2 Cr 2.63
Cd 0.5000 0.0000 0.0000  2 Cr 2.63
N 0.5000 0.5000 0.5000  12 Cd 3.71

* total magnetic moment: 4.54 μB/cell
* E_form (uncorrected): 1.7878 eV/atom
* V: 145 Å³ per cell
* energy: -11.8 eV per cell

=====

4.
The following is a PBE calculation of a relaxed structure of Cr2Cd3N4, from Alexandria via LeMat-Bulk.

a b c (Å): 7.9588 7.9588 5.8504
angles (deg): 110.10 110.10 66.66
With the nearest neighbours (Å) after each atom.
Sites, in units of the cell vectors:
Cr 0.1354 0.3514 0.0081  4 N 1.74-1.84
Cr 0.3514 0.1354 0.5081  4 N 1.74-1.84
Cr 0.6486 0.8646 0.4919  4 N 1.74-1.84
Cr 0.8646 0.6486 0.9919  4 N 1.74-1.84
Cd 0.0155 0.9845 0.7500  4 Cd 2.94-3.08, 4 N 2.94-3.14, 2 Cr 3.15
Cd 0.3220 0.6608 0.5076  2 N 2.35-2.40
Cd 0.3392 0.6780 0.9924  2 N 2.35-2.40
Cd 0.6608 0.3220 0.0076  2 N 2.35-2.40
Cd 0.6780 0.3392 0.4924  2 N 2.35-2.40
Cd 0.9845 0.0155 0.2500  4 Cd 2.94-3.08, 4 N 2.94-3.14, 2 Cr 3.15
N 0.1215 0.6005 0.1079  2 Cr 1.83-1.84
N 0.2286 0.2481 0.2649  2 Cr 1.74-1.76
N 0.2481 0.2286 0.7649  2 Cr 1.74-1.76
N 0.3995 0.8785 0.3921  2 Cr 1.83-1.84
N 0.6005 0.1215 0.6079  2 Cr 1.83-1.84
N 0.7519 0.7714 0.2351  2 Cr 1.74-1.76
N 0.7714 0.7519 0.7351  2 Cr 1.74-1.76
N 0.8785 0.3995 0.8921  2 Cr 1.83-1.84

* total magnetic moment: 1.19 μB/cell
* E_form (uncorrected): 0.0614 eV/atom
* V: 310 Å³ per cell
* energy: -109.5 eV per cell

=====

5.
The following is a PBE calculation of a relaxed structure of CrCdN, from Alexandria via LeMat-Bulk.

a b c (Å): 2.8101 2.8101 10.8093
angles (deg): 90.00 90.00 90.00
With the nearest neighbours (Å) after each atom.
Sites, in units of the cell vectors:
Cr 0.2500 0.2500 0.0803  5 N 1.95-2.00
Cr 0.7500 0.7500 0.9197  5 N 1.95-2.00
Cd 0.2500 0.2500 0.3704  4 Cd 2.81, 1 Cr 3.14
Cd 0.7500 0.7500 0.6296  4 Cd 2.81, 1 Cr 3.14
N 0.2500 0.2500 0.8997  5 Cr 1.95-2.00
N 0.7500 0.7500 0.1003  5 Cr 1.95-2.00

* total magnetic moment: 0.00 μB/cell
* E_form (uncorrected): -0.1074 eV/atom
* V: 85 Å³ per cell
* energy: -38.4 eV per cell

=====

6.
The following is a PBE calculation of a relaxed structure of NaCr2CdN, from Alexandria via LeMat-Bulk.

a b c (Å): 4.6118 4.6118 4.9159
angles (deg): 90.00 90.00 90.00
With the nearest neighbours (Å) after each atom.
Sites, in units of the cell vectors:
Na 0.0000 0.0000 0.0000  4 Cr 2.31, 2 Cd 2.46
Cr 0.0000 0.5000 0.0000  2 Na 2.31
Cr 0.5000 0.0000 0.0000  2 Na 2.31
Cd 0.0000 0.0000 0.5000  2 Na 2.46
N 0.5000 0.5000 0.5000  4 Cd 3.26, 8 Cr 3.37

* total magnetic moment: 1.18 μB/cell
* E_form (uncorrected): 3.1919 eV/atom
* V: 105 Å³ per cell
* energy: -13.8 eV per cell

=====

7.
The following is a PBE calculation of a relaxed structure of CrCd2NiN, from Alexandria via LeMat-Bulk.

a b c (Å): 5.2758 5.2758 3.3796
angles (deg): 90.00 90.00 90.00
With the nearest neighbours (Å) after each atom.
Sites, in units of the cell vectors:
Cr 0.0000 0.0000 0.0000  8 Cd 3.13, 2 Cr 3.38
Cd 0.0000 0.5000 0.5000  2 Ni 2.64
Cd 0.5000 0.0000 0.5000  2 Ni 2.64
Ni 0.5000 0.5000 0.5000  2 N 1.69
N 0.5000 0.5000 0.0000  2 Ni 1.69

* total magnetic moment: 4.73 μB/cell
* E_form (uncorrected): 0.6567 eV/atom
* V: 94 Å³ per cell
* energy: -22.3 eV per cell

=====

8.
The following is a PBE calculation of a relaxed structure of CrCdNi2N, from Alexandria via LeMat-Bulk.

a b c (Å): 3.9631 3.9631 3.8010
angles (deg): 90.00 90.00 90.00
With the nearest neighbours (Å) after each atom.
Sites, in units of the cell vectors:
Cr 0.0000 0.0000 0.0000  2 N 1.90
Cd 0.5000 0.5000 0.0000  8 Ni 2.75, 4 Cr 2.80
Ni 0.0000 0.5000 0.5000  2 N 1.98
Ni 0.5000 0.0000 0.5000  2 N 1.98
N 0.0000 0.0000 0.5000  2 Cr 1.90, 4 Ni 1.98

* total magnetic moment: 1.81 μB/cell
* E_form (uncorrected): -0.0639 eV/atom
* V: 60 Å³ per cell
* energy: -30.7 eV per cell